1.
DFT (PBE-GGA) results for a geometry-optimized Cs2PaTe4 structure.

## Properties
**Calculated volume**: 49.96 Å³ per atom
**Polymorph energy (0 for the lowest one)**: 0 meV per atom
**Space group**: P2/m (10)
**Density**: 4.8 Mg/m³
**E_form (uncorrected)**: -0.839 eV per atom

Geometry as CIF:
```
data_Cs2PaTe4
_cell_length_a 4.673
_cell_length_b 8.986
_cell_length_c 9.050
_cell_angle_alpha 113.02
_cell_angle_beta 90.00
_cell_angle_gamma 90.00
_symmetry_space_group_name_H-M 'P 1'
_symmetry_Int_Tables_number 1
loop_
_symmetry_equiv_pos_as_xyz
'x,y,z'
loop_
_atom_site_label
_atom_site_fract_x
_atom_site_fract_y
_atom_site_fract_z
Cs1 0.500 0.389 0.771
Cs2 0.500 0.754 0.372
Pa1 0.000 0.071 0.071
Te1 0.500 0.995 0.835
Te2 0.000 0.417 0.130
Te3 0.500 0.148 0.307
Te4 0.000 0.726 0.013
```

=====

2.
DFT (PBE-GGA) results for a geometry-optimized In2HgSe structure.

## Properties
**Calculated volume**: 27.54 Å³ per atom
**Polymorph energy (0 for the lowest one)**: 29 meV per atom
**Space group**: R3m (160)
**Density**: 7.7 Mg/m³
**E_form (uncorrected)**: -0.221 eV per atom

Geometry as CIF:
```
data_In2HgSe
_cell_length_a 3.995
_cell_length_b 3.995
_cell_length_c 8.297
_cell_angle_alpha 76.07
_cell_angle_beta 76.07
_cell_angle_gamma 60.00
_symmetry_space_group_name_H-M 'P 1'
_symmetry_Int_Tables_number 1
loop_
_symmetry_equiv_pos_as_xyz
'x,y,z'
loop_
_atom_site_label
_atom_site_fract_x
_atom_site_fract_y
_atom_site_fract_z
In1 0.077 0.077 0.770
In2 0.256 0.256 0.231
Hg1 0.498 0.498 0.505
Se1 0.668 0.668 0.995
```

=====

3.
DFT (PBE-GGA) results for a geometry-optimized Ta2CdPb structure.

## Properties
**Calculated volume**: 21.95 Å³ per atom
**Space group**: I-42d (122)
**Energy relative to the elements**: 0.920 eV/atom
**Density**: 12.9 Mg/m³

Geometry as CIF:
```
data_Ta2CdPb
_cell_length_a 7.755
_cell_length_b 7.755
_cell_length_c 6.213
_cell_angle_alpha 51.38
_cell_angle_beta 51.38
_cell_angle_gamma 90.00
_symmetry_space_group_name_H-M 'P 1'
_symmetry_Int_Tables_number 1
loop_
_symmetry_equiv_pos_as_xyz
'x,y,z'
loop_
_atom_site_label
_atom_site_fract_x
_atom_site_fract_y
_atom_site_fract_z
Pb1 0.000 0.000 0.000
Pb2 0.750 0.250 0.500
Cd1 0.500 0.500 0.000
Cd2 0.250 0.750 0.500
Ta1 0.624 0.125 0.250
Ta2 0.126 0.625 0.250
Ta3 0.375 0.376 0.750
Ta4 0.875 0.874 0.750
```

=====

4.
DFT (PBE-GGA) results for a geometry-optimized HgAuF structure.

## Properties
**Calculated volume**: 18.90 Å³ per atom
**Polymorph energy (0 for the lowest one)**: 0 meV per atom
**Space group**: Cmc2_1 (36)
**Density**: 12.2 Mg/m³
**E_form (uncorrected)**: -0.640 eV per atom

Geometry as CIF:
```
data_HgAuF
_cell_length_a 3.333
_cell_length_b 5.064
_cell_length_c 6.922
_cell_angle_alpha 90.00
_cell_angle_beta 103.93
_cell_angle_gamma 90.00
_symmetry_space_group_name_H-M 'P 1'
_symmetry_Int_Tables_number 1
loop_
_symmetry_equiv_pos_as_xyz
'x,y,z'
loop_
_atom_site_label
_atom_site_fract_x
_atom_site_fract_y
_atom_site_fract_z
Hg1 0.364 0.362 0.728
Hg2 0.636 0.862 0.272
Au1 0.040 0.481 0.081
Au2 0.960 0.981 0.919
F1 0.197 0.198 0.395
F2 0.803 0.698 0.605
```

=====

5.
DFT (PBE-GGA) results for a geometry-optimized Ce2Ho2Rh15 structure.

## Properties
**Calculated volume**: 17.04 Å³ per atom
**Space group**: R-3m (166)
**Energy relative to the elements**: -0.392 eV/atom
**Density**: 11.0 Mg/m³

Geometry as CIF:
```
data_Ce2Ho2Rh15
_cell_length_a 6.928
_cell_length_b 6.928
_cell_length_c 6.928
_cell_angle_alpha 82.09
_cell_angle_beta 82.09
_cell_angle_gamma 82.09
_symmetry_space_group_name_H-M 'P 1'
_symmetry_Int_Tables_number 1
loop_
_symmetry_equiv_pos_as_xyz
'x,y,z'
loop_
_atom_site_label
_atom_site_fract_x
_atom_site_fract_y
_atom_site_fract_z
Ce1 0.359 0.359 0.359
Ce2 0.641 0.641 0.641
Ho1 0.109 0.109 0.109
Ho2 0.891 0.891 0.891
Rh1 0.500 0.000 0.000
Rh2 0.000 0.000 0.500
Rh3 0.000 0.500 0.000
Rh4 0.000 0.687 0.313
Rh5 0.687 0.313 0.000
Rh6 0.313 0.000 0.687
Rh7 0.313 0.687 0.000
Rh8 0.687 0.000 0.313
Rh9 0.000 0.313 0.687
Rh10 0.164 0.651 0.651
Rh11 0.651 0.651 0.164
Rh12 0.651 0.164 0.651
Rh13 0.836 0.349 0.349
Rh14 0.349 0.349 0.836
Rh15 0.349 0.836 0.349
```

=====

6.
DFT (PBE-GGA) results for a geometry-optimized Nb3ReNi structure.

## Properties
**Calculated volume**: 22.47 Å³ per atom
**Polymorph energy (0 for the lowest one)**: 342 meV per atom
**Space group**: Pm-3m (221)
**Energy relative to the elements**: 1.418 eV/atom
**Density**: 7.7 Mg/m³

Geometry as CIF:
```
data_Nb3ReNi
_cell_length_a 4.826
_cell_length_b 4.826
_cell_length_c 4.826
_cell_angle_alpha 90.00
_cell_angle_beta 90.00
_cell_angle_gamma 90.00
_symmetry_space_group_name_H-M 'P 1'
_symmetry_Int_Tables_number 1
loop_
_symmetry_equiv_pos_as_xyz
'x,y,z'
loop_
_atom_site_label
_atom_site_fract_x
_atom_site_fract_y
_atom_site_fract_z
Re1 0.000 0.000 0.000
Nb1 0.000 0.500 0.000
Nb2 0.000 0.000 0.500
Nb3 0.500 0.000 0.000
Ni1 0.500 0.500 0.500
```

=====

7.
DFT (PBE-GGA) results for a geometry-optimized Ti2MnIr structure.

## Properties
**Calculated volume**: 16.28 Å³ per atom
**Polymorph energy (0 for the lowest one)**: 863 meV per atom
**Space group**: I-42d (122)
**Energy relative to the elements**: 0.174 eV/atom
**Density**: 8.7 Mg/m³

Geometry as CIF:
```
data_Ti2MnIr
_cell_length_a 3.813
_cell_length_b 3.813
_cell_length_c 9.353
_cell_angle_alpha 78.24
_cell_angle_beta 78.24
_cell_angle_gamma 90.00
_symmetry_space_group_name_H-M 'P 1'
_symmetry_Int_Tables_number 1
loop_
_symmetry_equiv_pos_as_xyz
'x,y,z'
loop_
_atom_site_label
_atom_site_fract_x
_atom_site_fract_y
_atom_site_fract_z
Ir1 0.000 0.000 0.000
Ir2 0.750 0.250 0.500
Mn1 0.500 0.500 0.000
Mn2 0.250 0.750 0.500
Ti1 0.624 0.125 0.250
Ti2 0.126 0.625 0.250
Ti3 0.375 0.376 0.750
Ti4 0.875 0.874 0.750
```

=====

8.
DFT (PBE-GGA) results for a geometry-optimized GeSbWI2 structure.

## Properties
**Calculated volume**: 32.54 Å³ per atom
**Polymorph energy (0 for the lowest one)**: 0 meV per atom
**Space group**: P4/mmm (123)
**Density**: 6.5 Mg/m³
**E_form (uncorrected)**: 0.977 eV per atom

Geometry as CIF:
```
data_GeSbWI2
_cell_length_a 5.526
_cell_length_b 5.526
_cell_length_c 5.329
_cell_angle_alpha 90.00
_cell_angle_beta 90.00
_cell_angle_gamma 90.00
_symmetry_space_group_name_H-M 'P 1'
_symmetry_Int_Tables_number 1
loop_
_symmetry_equiv_pos_as_xyz
'x,y,z'
loop_
_atom_site_label
_atom_site_fract_x
_atom_site_fract_y
_atom_site_fract_z
I1 0.000 0.500 0.000
I2 0.500 0.000 0.000
Sb1 0.000 0.000 0.500
Ge1 0.500 0.500 0.500
W1 0.000 0.000 0.000
```

=====

9.
DFT (PBE-GGA) results for a geometry-optimized LaSm6Dy3Ho2 structure.

## Properties
**Calculated volume**: 33.00 Å³ per atom
**Space group**: C2/m (12)
**Energy relative to the elements**: 0.019 eV/atom
**Density**: 7.8 Mg/m³

Geometry as CIF:
```
data_LaSm6Dy3Ho2
_cell_length_a 6.239
_cell_length_b 6.239
_cell_length_c 11.929
_cell_angle_alpha 95.00
_cell_angle_beta 95.00
_cell_angle_gamma 119.98
_symmetry_space_group_name_H-M 'P 1'
_symmetry_Int_Tables_number 1
loop_
_symmetry_equiv_pos_as_xyz
'x,y,z'
loop_
_atom_site_label
_atom_site_fract_x
_atom_site_fract_y
_atom_site_fract_z
La1 0.000 0.000 0.000
Sm1 0.915 0.581 0.748
Sm2 0.750 0.750 0.252
Sm3 0.085 0.419 0.252
Sm4 0.581 0.915 0.748
Sm5 0.250 0.250 0.748
Sm6 0.419 0.085 0.252
Dy1 0.167 0.833 0.500
Dy2 0.833 0.167 0.500
Dy3 0.500 0.500 0.500
Ho1 0.333 0.667 0.000
Ho2 0.667 0.333 0.000
```

=====

10.
DFT (PBE-GGA) results for a geometry-optimized EuBiTe2 structure.

## Properties
**Calculated volume**: 39.57 Å³ per atom
**Polymorph energy (0 for the lowest one)**: 208 meV per atom
**Space group**: R-3m (166)
**Density**: 6.5 Mg/m³
**E_form (uncorrected)**: -0.548 eV per atom

Geometry as CIF:
```
data_EuBiTe2
_cell_length_a 4.282
_cell_length_b 4.282
_cell_length_c 10.269
_cell_angle_alpha 77.97
_cell_angle_beta 77.97
_cell_angle_gamma 60.00
_symmetry_space_group_name_H-M 'P 1'
_symmetry_Int_Tables_number 1
loop_
_symmetry_equiv_pos_as_xyz
'x,y,z'
loop_
_atom_site_label
_atom_site_fract_x
_atom_site_fract_y
_atom_site_fract_z
Eu1 0.500 0.500 0.500
Te1 0.101 0.101 0.697
Te2 0.899 0.899 0.303
Bi1 0.000 0.000 0.000
```

=====

11.
DFT (PBE-GGA) results for a geometry-optimized NaVAs2 structure.

## Properties
**Calculated volume**: 18.72 Å³ per atom
**Polymorph energy (0 for the lowest one)**: 0 meV per atom
**Space group**: R-3m (166)
**Energy relative to the elements**: -0.348 eV/atom
**Density**: 5.0 Mg/m³

Geometry as CIF:
```
data_NaVAs2
_cell_length_a 3.264
_cell_length_b 3.264
_cell_length_c 8.333
_cell_angle_alpha 89.99
_cell_angle_beta 101.29
_cell_angle_gamma 120.02
_symmetry_space_group_name_H-M 'P 1'
_symmetry_Int_Tables_number 1
loop_
_symmetry_equiv_pos_as_xyz
'x,y,z'
loop_
_atom_site_label
_atom_site_fract_x
_atom_site_fract_y
_atom_site_fract_z
Na1 0.000 0.500 0.500
V1 0.000 0.000 0.000
As1 0.528 0.264 0.793
As2 0.472 0.736 0.207
```

=====

- Number 8 is which compound?
  GeSbWI2